Entry 1:
Compound: NaIn9Ag2
Source: the Alexandria database
Functional: PBE
Structure: optimized geometry

- Calculated total energy: -2.6404 eV per atom
- DOS at the Fermi energy: 0.3405 states/eV per atom
- V: 26.5 Å³/atom
- M_tot: 0.000 μB/f.u.

a b c (Å): 9.7247 9.7247 9.7247
angles (deg): 100.20 100.20 130.23
Last column: nearest neighbours and their distance in Å.
Fractional coordinates of all 24 atoms:
1 Na 0.3750 0.6250 0.7500  18 In 3.73-4.15
2 Na 0.6250 0.3750 0.2500  18 In 3.73-4.15
3 In 0.1121 0.5485 0.3199  2 Ag 2.95-3.18, 5 In 3.04-3.29
4 In 0.1121 0.7922 0.5636  2 Ag 2.95-3.18, 5 In 3.04-3.29
5 In 0.1250 0.8750 0.2500  4 Ag 3.28, 8 In 3.29
6 In 0.2078 0.2715 0.3199  2 Ag 2.95-3.18, 5 In 3.04-3.29
7 In 0.2078 0.8879 0.9364  2 Ag 2.95-3.18, 5 In 3.04-3.29
8 In 0.2715 0.2078 0.8199  2 Ag 2.95-3.18, 5 In 3.04-3.29
9 In 0.2715 0.4515 0.0636  2 Ag 2.95-3.18, 5 In 3.04-3.29
10 In 0.4515 0.2715 0.5636  2 Ag 2.95-3.18, 5 In 3.04-3.29
11 In 0.4515 0.8879 0.1801  2 Ag 2.95-3.18, 5 In 3.04-3.29
12 In 0.5485 0.1121 0.8199  2 Ag 2.95-3.18, 5 In 3.04-3.29
13 In 0.5485 0.7285 0.4364  2 Ag 2.95-3.18, 5 In 3.04-3.29
14 In 0.7285 0.5485 0.9364  2 Ag 2.95-3.18, 5 In 3.04-3.29
15 In 0.7285 0.7922 0.1801  2 Ag 2.95-3.18, 5 In 3.04-3.29
16 In 0.7922 0.1121 0.0636  2 Ag 2.95-3.18, 5 In 3.04-3.29
17 In 0.7922 0.7285 0.6801  2 Ag 2.95-3.18, 5 In 3.04-3.29
18 In 0.8750 0.1250 0.7500  4 Ag 3.28, 8 In 3.29
19 In 0.8879 0.2078 0.4364  2 Ag 2.95-3.18, 5 In 3.04-3.29
20 In 0.8879 0.4515 0.6801  2 Ag 2.95-3.18, 5 In 3.04-3.29
21 Ag 0.0000 0.0000 0.0000  10 In 2.95-3.28
22 Ag 0.0000 0.0000 0.5000  10 In 2.95-3.28
23 Ag 0.0000 0.5000 0.0000  10 In 2.95-3.28
24 Ag 0.5000 0.0000 0.5000  10 In 2.95-3.28



Entry 2:
Compound: NaIn8Ag4
Source: the Alexandria database
Functional: PBE
Structure: optimized geometry

- Calculated total energy: -2.6932 eV per atom
- DOS at the Fermi energy: 0.3560 states/eV per atom
- V: 23.6 Å³/atom
- M_tot: 0.000 μB/f.u.

a b c (Å): 7.8132 7.8132 7.8132
angles (deg): 98.06 98.06 136.02
Last column: nearest neighbours and their distance in Å.
Fractional coordinates of all 13 atoms:
1 Na 0.0000 0.0000 0.0000  12 In 3.56-3.65, 8 Ag 3.91
2 In 0.0000 0.3474 0.3474  4 Ag 3.11, 5 In 3.13-3.33
3 In 0.0000 0.6526 0.6526  4 Ag 3.11, 5 In 3.13-3.33
4 In 0.2867 0.5000 0.7867  4 Ag 2.97, 6 In 3.09-3.33
5 In 0.3474 0.0000 0.3474  4 Ag 3.11, 5 In 3.13-3.33
6 In 0.5000 0.2867 0.7867  4 Ag 2.97, 6 In 3.09-3.33
7 In 0.5000 0.7133 0.2133  4 Ag 2.97, 6 In 3.09-3.33
8 In 0.6526 0.0000 0.6526  4 Ag 3.11, 5 In 3.13-3.33
9 In 0.7133 0.5000 0.2133  4 Ag 2.97, 6 In 3.09-3.33
10 Ag 0.0000 0.0000 0.5000  2 Ag 2.93, 8 In 2.97-3.11
11 Ag 0.0000 0.5000 0.0000  2 Ag 2.93, 8 In 2.97-3.11
12 Ag 0.5000 0.0000 0.0000  2 Ag 2.93, 8 In 2.97-3.11
13 Ag 0.5000 0.5000 0.5000  2 Ag 2.93, 8 In 2.97-3.11



Entry 3:
Compound: NaInAg
Source: the Alexandria database
Functional: PBE
Structure: optimized geometry

- Calculated total energy: -2.3384 eV per atom
- DOS at the Fermi energy: 0.2807 states/eV per atom
- V: 24.3 Å³/atom
- M_tot: 0.000 μB/f.u.

a b c (Å): 15.7725 3.1793 6.2936
angles (deg): 90.00 112.61 90.00
Last column: nearest neighbours and their distance in Å.
Fractional coordinates of all 12 atoms:
1 Na 0.1881 0.0000 0.1856  4 Ag 3.15-3.29, 2 Na 3.18, 4 In 3.47-3.51
2 Na 0.3119 0.5000 0.8144  4 Ag 3.15-3.29, 2 Na 3.18, 4 In 3.47-3.51
3 Na 0.6881 0.5000 0.1856  4 Ag 3.15-3.29, 2 Na 3.18, 4 In 3.47-3.51
4 Na 0.8119 0.0000 0.8144  4 Ag 3.15-3.29, 2 Na 3.18, 4 In 3.47-3.51
5 In 0.0007 0.5000 0.2348  4 Ag 2.94-2.95, 3 In 2.95-3.18
6 In 0.4993 0.0000 0.7652  4 Ag 2.94-2.95, 3 In 2.95-3.18
7 In 0.5007 0.0000 0.2348  4 Ag 2.94-2.95, 3 In 2.95-3.18
8 In 0.9993 0.5000 0.7652  4 Ag 2.94-2.95, 3 In 2.95-3.18
9 Ag 0.1255 0.0000 0.6236  4 In 2.94-2.95, 4 Na 3.15-3.29, 2 Ag 3.18
10 Ag 0.3745 0.5000 0.3764  4 In 2.94-2.95, 4 Na 3.15-3.29, 2 Ag 3.18
11 Ag 0.6255 0.5000 0.6236  4 In 2.94-2.95, 4 Na 3.15-3.29, 2 Ag 3.18
12 Ag 0.8745 0.0000 0.3764  4 In 2.94-2.95, 4 Na 3.15-3.29, 2 Ag 3.18



Entry 4:
Compound: Na2In2Ag
Source: the Alexandria database
Functional: PBE
Structure: optimized geometry

- Distance to the lowest polymorph of the same formula: 0 meV per atom
- DOS at the Fermi energy: 0.2690 states/eV per atom
- V: 25.5 Å³/atom
- M_tot: 0.000 μB/f.u.

a b c (Å): 5.9935 5.9935 9.3866
angles (deg): 101.81 101.81 50.95
Last column: nearest neighbours and their distance in Å.
Fractional coordinates of all 10 atoms:
1 Na 0.0568 0.0568 0.3570  2 Na 3.20-3.42, 7 In 3.20-3.44, 4 Ag 3.26-3.40
2 Na 0.1727 0.1727 0.0472  4 Na 3.30-3.64, 6 In 3.39-3.54, 3 Ag 3.57-3.69
3 Na 0.8273 0.8273 0.9528  4 Na 3.30-3.64, 6 In 3.39-3.54, 3 Ag 3.57-3.69
4 Na 0.9432 0.9432 0.6430  2 Na 3.20-3.42, 7 In 3.20-3.44, 4 Ag 3.26-3.40
5 In 0.3613 0.3613 0.4081  3 Ag 2.90-3.10, 2 In 3.07-3.10, 1 Na 3.22
6 In 0.4936 0.4936 0.1509  1 Ag 2.85, 2 In 2.87-3.07
7 In 0.5064 0.5064 0.8491  1 Ag 2.85, 2 In 2.87-3.07
8 In 0.6387 0.6387 0.5919  3 Ag 2.90-3.10, 2 In 3.07-3.10, 1 Na 3.22
9 Ag 0.2503 0.2503 0.6845  4 In 2.85-3.10
10 Ag 0.7497 0.7497 0.3155  4 In 2.85-3.10